# 1
The following is a PBE calculation of GdHoTe2F2 after structural relaxation, from OQMD.

VASP energy   -5.73 eV/atom
Space-group type   P4mm, No. 99
Total moment   0.00 μB/atom

Cell: 4.0262 4.0262 7.3892 Å, 90.00 90.00 90.00°
Fractional positions:
1 F 0.5000 0.0000 0.9980
2 F 0.0000 0.5000 0.9980
3 Gd 0.0000 0.0000 0.1979
4 Ho 0.5000 0.5000 0.8017
5 Te 0.5000 0.5000 0.3635
6 Te 0.0000 0.0000 0.6409

***

# 2
The following is a PBE calculation of CsAgSnTe3 after structural relaxation, from OQMD.

VASP energy   -3.25 eV/atom
Space-group type   P2_1/m, No. 11

Cell: 9.5223 4.4740 11.3304 Å, 90.00 111.93 90.00°
Fractional positions:
1 Ag 0.9406 0.7500 0.4145
2 Ag 0.0594 0.2500 0.5855
3 Cs 0.2503 0.2500 0.2990
4 Cs 0.7497 0.7500 0.7010
5 Sn 0.6778 0.2500 0.1401
6 Sn 0.3222 0.7500 0.8599
7 Te 0.4537 0.7500 0.1367
8 Te 0.8933 0.7500 0.1507
9 Te 0.7498 0.2500 0.4186
10 Te 0.2502 0.7500 0.5814
11 Te 0.1067 0.2500 0.8493
12 Te 0.5463 0.2500 0.8633

***

- Number 1 is which compound?
  GdHoTe2F2